# 1
The following is a PBE calculation of a geometry-optimized Dy6In2O structure, from the Alexandria database.

Lattice parameters (Å, degrees): 9.688 9.688 9.688 90.00 90.00 90.00
Space group Fm-3m (No. 225)
Inequivalent atoms, fractional coordinates:
Dy: 0.000 0.000 0.247
In: 0.250 0.250 0.250
O: 0.000 0.000 0.000

Computed properties:
density of states at the Fermi level: 30.8 states/eV/cell
formation energy (no corrections): -868 meV/atom

# 2
The following is a PBE calculation of a geometry-optimized CaPr6ErTm2 structure, from the Alexandria database.

Lattice parameters (Å, degrees): 9.396 15.430 9.778 90.00 96.58 90.00
Space group C2/c (No. 15)
Inequivalent atoms, fractional coordinates:
Ca: 0.000 0.027 0.250
Pr: 0.061 0.185 0.946
Pr: 0.101 0.394 0.119
Pr: 0.218 0.229 0.318
Er: 0.000 0.409 0.750
Tm: 0.247 0.448 0.453

Computed properties:
energy of formation: 0.12 eV/atom
density of states at the Fermi level: 54.7 states/eV/cell

# 3
The following is a PBE calculation of a geometry-optimized CsPaFeSe4 structure, from the Alexandria database.

Lattice parameters (Å, degrees): 6.612 6.612 10.036 90.00 109.25 90.00
Space group P2_1/m (No. 11)
Inequivalent atoms, fractional coordinates:
Cs: 0.237 0.250 0.047
Pa: 0.249 0.250 0.553
Fe: 0.240 0.750 0.349
Se: 0.021 0.512 0.687
Se: 0.429 0.750 0.185
Se: 0.452 0.750 0.590

Computed properties:
density of states at the Fermi level: 7.5 states/eV/cell
formation energy (no corrections): -1023 meV/atom

# 4
The following is a PBE calculation of a geometry-optimized CuIrPtO6 structure, from the Alexandria database.

Lattice parameters (Å, degrees): 5.1730 5.1730 8.7024 90.00 90.00 120.00
Space group P-31c (No. 163)
Inequivalent atoms, fractional coordinates:
Cu: 0.0000 0.0000 0.0000
Ir: 0.3333 0.6667 0.2500
Pt: 0.3333 0.6667 0.7500
O: 0.0078 0.3583 0.1262

Computed properties:
density of states at the Fermi level: 15.3 states/eV/cell
formation energy (no corrections): -460 meV/atom

# 5
The following is a PBE calculation of a geometry-optimized ThGa2CuPt4 structure, from the Alexandria database.

Lattice parameters (Å, degrees): 4.2922 4.2922 26.3315 90.00 90.00 120.00
Space group R-3m (No. 166, hexagonal axes)
Inequivalent atoms, fractional coordinates:
Th: 0.0000 0.0000 0.0000
Ga: 0.0000 0.0000 0.2361
Cu: 0.0000 0.0000 0.5000
Pt: 0.0000 0.0000 0.1325
Pt: 0.0000 0.0000 0.4007

Computed properties:
energy of formation: -0.78 eV/atom
density of states at the Fermi level: 8.6 states/eV/cell

# 6
The following is a PBE calculation of a geometry-optimized Rb2NpCuS4 structure, from the Alexandria database.

Lattice parameters (Å, degrees): 10.619 11.713 8.058 90.00 111.06 90.00
Space group C2/c (No. 15)
Inequivalent atoms, fractional coordinates:
Rb: 0.000 0.000 0.000
Rb: 0.250 0.250 0.000
Np: 0.000 0.500 0.000
Cu: 0.250 0.250 0.500
S: 0.058 0.277 0.534
S: 0.173 0.491 0.330

Computed properties:
density of states at the Fermi level: 23.2 states/eV/cell
formation energy (no corrections): -903 meV/atom

> Number 5 is which compound?

ThGa2CuPt4

> Which value of density of states at the Fermi level does entry 2 give?

54.7 states/eV/cell

What did the sixth record say?
The following is a PBE calculation of a geometry-optimized Rb2NpCuS4 structure, from the Alexandria database.

Lattice parameters (Å, degrees): 10.619 11.713 8.058 90.00 111.06 90.00
Space group C2/c (No. 15)
Inequivalent atoms, fractional coordinates:
Rb: 0.000 0.000 0.000
Rb: 0.250 0.250 0.000
Np: 0.000 0.500 0.000
Cu: 0.250 0.250 0.500
S: 0.058 0.277 0.534
S: 0.173 0.491 0.330

Computed properties:
density of states at the Fermi level: 23.2 states/eV/cell
formation energy (no corrections): -903 meV/atom